{"formula": "Nd5In2O2", "functional": "PBE", "state": "optimized geometry", "formation_energy_uncorrected_ev_per_atom": -1.4174, "total_energy_ev_per_cell": -103.98, "cell": [[-3.527, 9.672, 3.549], [3.527, -9.672, 3.549], [3.527, 9.672, -3.549]], "species": ["Nd", "Nd", "Nd", "Nd", "Nd", "Nd", "Nd", "Nd", "Nd", "Nd", "In", "In", "In", "In", "O", "O", "O", "O"], "fractional_positions": [[0.000, 0.000, 0.500], [0.000, 0.500, 0.000], [0.204, 0.067, 0.137], [0.240, 0.000, 0.740], [0.240, 0.500, 0.240], [0.429, 0.067, 0.363], [0.571, 0.933, 0.637], [0.760, 0.000, 0.260], [0.760, 0.500, 0.760], [0.796, 0.933, 0.863], [0.104, 0.479, 0.625], [0.354, 0.479, 0.875], [0.646, 0.521, 0.125], [0.896, 0.521, 0.375], [0.000, 0.000, 0.000], [0.224, 0.974, 0.250], [0.500, 0.000, 0.500], [0.776, 0.026, 0.750]]}